# TmIn5Pt4 | Alexandria | PBE-GGA | optimized geometry
# Calculated total energy (eV per atom): -4.779
# V (Å³ per atom): 21.42
# Formation enthalpy at 0 K (meV per atom): -546
data_TmIn5Pt4
_symmetry_space_group_name_H-M 'P 1'
_symmetry_Int_Tables_number 1
_symmetry_space_group_name_Hall 'P 1'
_cell_length_a 4.699
_cell_length_b 6.726
_cell_length_c 7.872
_cell_angle_alpha 114.36
_cell_angle_beta 107.37
_cell_angle_gamma 90.00
loop_
_atom_site_label
_atom_site_type_symbol
_atom_site_fract_x
_atom_site_fract_y
_atom_site_fract_z
Pt1 Pt 0.665 0.416 0.329
Pt2 Pt 0.335 0.584 0.671
Pt3 Pt 0.008 0.750 0.016
Pt4 Pt 0.992 0.250 0.984
Tm1 Tm 0.500 0.000 0.000
In1 In 0.500 0.500 0.000
In2 In 0.167 0.165 0.334
In3 In 0.827 0.320 0.654
In4 In 0.173 0.680 0.346
In5 In 0.833 0.835 0.666